[1]
A relaxed structure of Hf2TaHg2. Source: Alexandria, functional GGA-PBE. Values from VASP.

The structure in Quantum ESPRESSO input format:
```
&SYSTEM
  ibrav = 0, nat = 5, ntyp = 3
/
ATOMIC_SPECIES
Hf 178.49 Hf.upf
Ta 180.95 Ta.upf
Hg 200.59 Hg.upf
CELL_PARAMETERS angstrom
-1.826 0.355 -2.484
-2.496 -0.640 1.744
-2.381 10.625 3.267
ATOMIC_POSITIONS angstrom
Hf -2.368 1.856 0.067
Ta 0.000 0.000 0.000
Hg -1.946 6.418 2.346
Hg -2.932 3.566 2.664
Hf -4.335 8.483 2.459
```

[2]
A relaxed structure of NdPa2MnC4. Source: Alexandria, functional GGA-PBE. Values from VASP.

The structure in Quantum ESPRESSO input format:
```
&SYSTEM
  ibrav = 0, nat = 16, ntyp = 4
/
ATOMIC_SPECIES
C 12.01 C.upf
Pa 231.04 Pa.upf
Nd 144.24 Nd.upf
Mn 54.94 Mn.upf
CELL_PARAMETERS angstrom
-3.170 -1.565 -0.504
2.649 -2.812 4.728
-5.076 7.859 7.518
ATOMIC_POSITIONS angstrom
C -2.538 3.929 3.759
C -2.945 2.983 9.263
C -0.093 -0.867 3.276
C -5.504 4.348 8.466
Pa -1.546 -1.363 1.303
C -2.652 0.499 2.479
C -1.342 1.067 5.126
Nd -2.016 -1.651 5.155
Mn -4.674 2.687 8.406
Nd -3.581 5.132 6.587
C 0.000 0.000 0.000
Mn -0.923 0.795 3.336
C -4.255 2.414 6.616
Pa -4.051 4.844 10.439
Pa -3.595 1.810 4.338
Pa -2.002 1.671 7.403
```

[3]
A relaxed structure of TbPaRh2. Source: Alexandria, functional GGA-PBE. Values from VASP.

The structure in Quantum ESPRESSO input format:
```
&SYSTEM
  ibrav = 0, nat = 4, ntyp = 3
/
ATOMIC_SPECIES
Rh 102.91 Rh.upf
Tb 158.93 Tb.upf
Pa 231.04 Pa.upf
CELL_PARAMETERS angstrom
3.906 0.000 0.000
1.953 3.383 0.000
1.953 1.128 6.812
ATOMIC_POSITIONS angstrom
Rh 5.859 3.383 5.251
Rh 1.953 1.128 1.561
Tb 3.906 2.255 3.406
Pa 0.000 0.000 0.000
```

[4]
A relaxed structure of Zn2Ir. Source: Alexandria, functional GGA-PBE. Values from VASP.

The structure in Quantum ESPRESSO input format:
```
&SYSTEM
  ibrav = 0, nat = 3, ntyp = 2
/
ATOMIC_SPECIES
Zn 65.41 Zn.upf
Ir 192.22 Ir.upf
CELL_PARAMETERS angstrom
-1.393 1.627 1.871
-2.901 0.963 -2.998
-2.349 -3.377 1.187
ATOMIC_POSITIONS angstrom
Zn -1.174 -1.688 0.594
Zn -1.450 0.482 -1.499
Ir -0.697 0.813 0.936
```

The records above give, respectively, energy of formation from the pure elements values of 31.0, -189.2, -775.1, -214.5 meV per atom.